La3Y2: relaxed, PBEsol.

Lattice parameters (Å, degrees): 3.594 3.594 14.732 82.99 82.99 60.00
Element x y z (fractional)
La: 0.200 0.200 0.399
Y: 0.601 0.601 0.197
La: 0.000 0.000 0.000
Y: 0.399 0.399 0.803
La: 0.800 0.800 0.601

Properties
* ρ: 6.050 g/cm3
* total energy: -29.62 eV per cell
* formation energy from the elements: 0.012 eV per atom
* calculated volume: 163.17 Å³ per cell